[1]
{"formula": "PuGaPdAu", "functional": "PBE", "state": "relaxed", "space_group": "F-43m", "dft_energy_ev_per_atom": -6.78, "formation_energy_ev_per_atom": -0.33, "total_magnetization_mub_per_cell": 5.61, "lattice": [[4.8332, 0.0000, 0.0000], [2.4166, 4.1856, 0.0000], [2.4166, 1.3952, 3.9463]], "species": ["Au", "Pd", "Pu", "Ga"], "frac_coords": [[0.0000, 0.0000, 0.0000], [0.7500, 0.7500, 0.7500], [0.2500, 0.2500, 0.2500], [0.5000, 0.5000, 0.5000]]}

---

[2]
{"formula": "PuGa4Pd2Au", "functional": "PBE", "state": "relaxed", "space_group": "R-3m", "dft_energy_ev_per_atom": -5.42, "formation_energy_ev_per_atom": -0.41, "total_magnetization_mub_per_cell": 5.49, "lattice": [[4.3354, 0.0000, 0.0000], [2.1677, 3.7546, 0.0000], [2.1677, 1.2515, 8.9603]], "species": ["Ga", "Ga", "Pd", "Ga", "Au", "Pd", "Pu", "Ga"], "frac_coords": [[0.8772, 0.8772, 0.3684], [0.1228, 0.1228, 0.6316], [0.7555, 0.7555, 0.7336], [0.3956, 0.3956, 0.8132], [0.5000, 0.5000, 0.5000], [0.2445, 0.2445, 0.2664], [0.0000, 0.0000, 0.0000], [0.6044, 0.6044, 0.1868]]}